(1)
A relaxed structure of P2HW2. Source: Alexandria, functional GGA-PBE.

Structure (POSCAR):
```
P2HW2
1.0
-3.089 -4.735 3.157
4.983 -3.986 -1.102
1.347 0.933 2.718
P W H
4 4 2
Direct
0.359 0.859 0.000 P
0.859 0.641 0.000 P
0.641 0.141 0.000 P
0.141 0.359 0.000 P
0.157 0.657 0.500 W
0.657 0.843 0.500 W
0.843 0.343 0.500 W
0.343 0.157 0.500 W
0.000 0.000 0.000 H
0.500 0.500 0.000 H
```

Computed properties:
**Symmetry**: P4/mbm (127)


(2)
A relaxed structure of CeHf2Rh. Source: Alexandria, functional GGA-PBE.

Structure (POSCAR):
```
CeHf2Rh
1.0
3.301 0.000 0.000
0.000 3.301 0.000
0.000 0.000 7.767
Rh Hf Ce
1 2 1
Direct
0.500 0.500 0.000 Rh
0.000 0.000 0.796 Hf
0.000 0.000 0.204 Hf
0.500 0.500 0.500 Ce
```

Computed properties:
**Symmetry**: P4/mmm (123)
**DFT formation energy**: -0.357 eV per atom


Number 1: magnetic moment 0.0 μB per cell, DFT total energy -7.597 eV per atom. Number 2: magnetic moment 0.1 μB per cell, DFT total energy -8.655 eV per atom.